No. 1
Compound: NdInAsO
Source: OQMD
Functional: PBE-GGA
Structure: relaxed

Space-group type: No. 129

```
8
Lattice="-1.448 -0.698 3.902 0.818 -4.118 -0.433 9.010 1.412 3.597" Properties=species:S:1:pos:R:3 pbc="T T T"
Nd 0.283 -0.191 2.353
Nd 8.412 -0.804 2.979
As 2.985 -1.655 0.812
As 5.710 0.659 4.520
In 4.505 0.706 1.799
In 4.190 -1.702 3.533
O -0.315 -2.408 1.735
O 0.000 0.000 0.000
```

---

No. 2
Compound: NdInAsO
Source: OQMD
Functional: PBE-GGA
Structure: relaxed

Space-group type: No. 26

```
8
Lattice="5.095 0.000 0.000 0.000 5.364 0.000 0.000 0.000 6.714" Properties=species:S:1:pos:R:3 pbc="T T T"
In 0.000 1.288 6.222
In 0.000 4.077 2.864
Nd 2.547 1.082 3.901
Nd 2.547 4.282 0.544
O 2.547 4.487 2.826
O 2.547 0.877 6.183
As 0.000 3.931 5.543
As 0.000 1.433 2.186
```

---

No. 3
Compound: InNi3As5
Source: OQMD
Functional: PBE-GGA
Structure: relaxed

Space-group type: No. 191

```
9
Lattice="5.012 0.000 0.000 -2.506 4.341 0.000 0.000 0.000 7.554" Properties=species:S:1:pos:R:3 pbc="T T T"
In 0.000 0.000 0.000
As 2.506 1.447 5.774
As 0.000 2.894 5.774
As 2.506 1.447 1.780
As 0.000 2.894 1.780
As 0.000 0.000 3.777
Ni -1.253 2.170 3.777
Ni 1.253 2.170 3.777
Ni 2.506 0.000 3.777
```

---

No. 4
Compound: InNiAs
Source: OQMD
Functional: PBE-GGA
Structure: relaxed

Space-group type: No. 139

```
6
Lattice="-1.827 1.827 8.252 1.827 -1.827 8.252 1.827 1.827 -8.252" Properties=species:S:1:pos:R:3 pbc="T T T"
Ni 0.000 0.000 15.247
Ni 0.000 0.000 1.258
As 0.000 0.000 3.648
As 0.000 0.000 12.857
In 0.000 0.000 6.738
In 0.000 0.000 9.767
```

---

No. 5
Compound: NpInAs
Source: OQMD
Functional: PBE-GGA
Structure: relaxed

Space-group type: No. 216

```
3
Lattice="0.000 3.398 3.398 3.398 0.000 3.398 3.398 3.398 0.000" Properties=species:S:1:pos:R:3 pbc="T T T"
In 1.699 1.699 1.699
As 0.000 0.000 0.000
Np 5.097 5.097 5.097
```

---

No. 6
Compound: PmInAsO
Source: OQMD
Functional: PBE-GGA
Structure: relaxed

Space-group type: No. 129

```
8
Lattice="2.958 -2.959 0.000 2.958 2.959 0.000 0.000 0.000 9.818" Properties=species:S:1:pos:R:3 pbc="T T T"
As 1.479 0.000 7.027
As 4.437 0.000 2.791
O 2.958 -1.479 0.000
O 2.958 1.479 0.000
Pm 4.437 0.000 8.737
Pm 1.479 0.000 1.082
In 2.958 -1.479 4.909
In 2.958 1.479 4.909
```

---

E_tot per entry: -5.7506 -5.6044 -4.8112 -4.2492 -6.6780 -5.7569 eV/atom